[1]
Here is a PBEsol-optimized structure of KSb2PO8 from the Alexandria database. Energies are from meta-GGA SCAN.

Unit cell a=12.3512 b=7.1285 c=15.1001 alpha=90.00 beta=95.71 gamma=90.00
Last column: nearest neighbours and their distance in Å.
Space group C2/c (No. 15)
One atom of each set of equivalent atoms:
K: 0.0261 0.1215 0.3827 x8  7 O 2.78-3.06
Sb: 0.1769 0.3680 0.9368 x8  6 O 1.95-2.08
Sb: 0.2480 0.3738 0.2531 x8  6 O 1.96-2.06
P: 0.1017 0.3861 0.6054 x8  4 O 1.53-1.55
O: 0.0143 0.3651 0.9396 x8  1 P 1.53
O: 0.1103 0.4504 0.1734 x8  1 P 1.55
O: 0.1285 0.1970 0.6529 x8  1 P 1.55
O: 0.1593 0.1777 0.8419 x8  2 Sb 1.96-1.97
O: 0.1632 0.4209 0.3544 x8  2 Sb 1.95-1.97
O: 0.1657 0.1672 0.0292 x8  2 Sb 1.98-2.01
O: 0.1772 0.4204 0.5317 x8  1 P 1.54
O: 0.1820 0.1226 0.2459 x8  2 Sb 1.97

Output
raw formation energy = -1.945 eV/atom
D(E_F) = 0.00 states/eV/f.u.

[2]
Here is a PBEsol-optimized structure of TlPd2Au from the Alexandria database. Energies are from meta-GGA SCAN.

Unit cell a=6.4447 b=6.4447 c=6.4447 alpha=90.00 beta=90.00 gamma=90.00
Last column: nearest neighbours and their distance in Å.
Space group Fm-3m (No. 225)
One atom of each set of equivalent atoms:
Tl: 0.0000 0.0000 0.0000 x4  8 Pd 2.79
Pd: 0.2500 0.2500 0.2500 x8  4 Tl 2.79, 4 Au 2.79
Au: 0.0000 0.0000 0.5000 x4  8 Pd 2.79

Output
energy relative to the elements = -0.170 eV/atom
D(E_F) = 1.48 states/eV/f.u.

[3]
Here is a PBEsol-optimized structure of TlRhNF2 from the Alexandria database. Energies are from meta-GGA SCAN.

Unit cell a=4.4577 b=4.4577 c=3.6262 alpha=90.00 beta=90.00 gamma=90.00
Last column: nearest neighbours and their distance in Å.
Space group P4/mmm (No. 123)
One atom of each set of equivalent atoms:
Tl: 0.0000 0.0000 0.0000 x1  8 F 2.87, 4 N 3.15
Rh: 0.5000 0.5000 0.5000 x1  2 N 1.81
N: 0.5000 0.5000 0.0000 x1  2 Rh 1.81
F: 0.0000 0.5000 0.5000 x2  2 Rh 2.23

Output
raw formation energy = -0.780 eV/atom
D(E_F) = 1.15 states/eV/f.u.